Compound: HfSi2Pd2
Source: Alexandria
Functional: GGA-PBE
Structure: relaxed

## Properties
Formation energy from raw total energies   -2.40 eV/f.u.
Volume   77.84 Å³/f.u.

a = 7.321 Å, b = 7.321 Å, c = 2.905 Å
α = 90.00°, β = 90.00°, γ = 90.00°
Sites, in units of the cell vectors:
Si: 0.851 0.649 0.000
Si: 0.351 0.851 0.000
Si: 0.649 0.149 0.000
Si: 0.149 0.351 0.000
Pd: 0.646 0.854 0.500
Pd: 0.146 0.646 0.500
Pd: 0.854 0.354 0.500
Pd: 0.354 0.146 0.500
Hf: 0.500 0.500 0.000
Hf: 0.000 0.000 0.000